# PBE Sr3Bi4Pd2, optimized geometry
# ΔE to the lowest computed polymorph ... 6.0 kJ/mol of atoms
# Calculated density ... 7.51 Mg/m³
# Total magnetic moment ... 0.000 Bohr magnetons per cell
# ΔE_f ... -0.584 eV/atom
data_Sr3Bi4Pd2
_space_group_name_H-M_alt 'C 1 2/m 1'
_space_group_IT_number 12
_space_group_name_Hall '-C 2y'
_cell_length_a 12.039
_cell_length_b 4.547
_cell_length_c 10.708
_cell_angle_alpha 90.00
_cell_angle_beta 98.53
_cell_angle_gamma 90.00
loop_
_atom_site_label
_atom_site_type_symbol
_atom_site_fract_x
_atom_site_fract_y
_atom_site_fract_z
Sr1 Sr 0.000 0.000 0.000
Sr2 Sr 0.129 0.500 0.390
Bi1 Bi 0.086 0.000 0.642
Bi2 Bi 0.221 0.500 0.107
Pd1 Pd 0.208 0.500 0.732